1.
A relaxed TlZn2B2Rh5 crystal, computed with PBE.

Output
ΔE_f (eV/f.u.): -2.41
Uncorrected energy (eV for the cell shown): -114.86
Calculated density (g/cm³): 10.5
Volume (Å³/cell): 276

a b c (Å): 2.936 9.696 9.696
angles (deg): 90.00 90.00 90.00
Sites, in units of the cell vectors:
Tl: 0.000 0.000 0.000
Tl: 0.000 0.500 0.500
Zn: 0.000 0.678 0.178
Zn: 0.000 0.322 0.822
Zn: 0.000 0.178 0.322
Zn: 0.000 0.822 0.678
B: 0.000 0.123 0.623
B: 0.000 0.877 0.377
B: 0.000 0.623 0.877
B: 0.000 0.377 0.123
Rh: 0.500 0.227 0.072
Rh: 0.500 0.773 0.928
Rh: 0.500 0.072 0.773
Rh: 0.500 0.727 0.428
Rh: 0.500 0.928 0.227
Rh: 0.500 0.273 0.572
Rh: 0.500 0.572 0.727
Rh: 0.500 0.428 0.273
Rh: 0.500 0.500 0.000
Rh: 0.500 0.000 0.500

***

2.
A relaxed TmB5Rh7 crystal, computed with PBE.

Output
ΔE_f (eV/f.u.): -2.96
Uncorrected energy (eV for the cell shown): -92.28
Calculated density (g/cm³): 10.0
Volume (Å³/cell): 157

a b c (Å): 4.922 6.159 6.159
angles (deg): 84.20 66.45 66.45
Sites, in units of the cell vectors:
Tm: 0.012 0.988 0.988
B: 0.440 0.000 0.485
B: 0.074 0.000 0.485
B: 0.440 0.485 0.000
B: 0.074 0.485 0.000
B: 0.716 0.784 0.784
Rh: 0.681 0.319 0.319
Rh: 0.344 0.656 0.656
Rh: 0.922 0.409 0.746
Rh: 0.922 0.746 0.409
Rh: 0.260 0.240 0.240
Rh: 0.556 0.739 0.148
Rh: 0.556 0.148 0.739

***

3.
A relaxed Tm2B2Rh5 crystal, computed with PBE.

Output
ΔE_f (eV/f.u.): -6.54
Uncorrected energy (eV for the cell shown): -65.59
Calculated density (g/cm³): 10.5
Volume (Å³/cell): 138

a b c (Å): 4.153 4.153 7.980
angles (deg): 90.00 90.00 90.00
Sites, in units of the cell vectors:
Tm: 0.000 0.000 0.000
Tm: 0.000 0.000 0.500
B: 0.500 0.500 0.217
B: 0.500 0.500 0.783
Rh: 0.500 0.000 0.246
Rh: 0.500 0.000 0.754
Rh: 0.500 0.500 0.500
Rh: 0.000 0.500 0.246
Rh: 0.000 0.500 0.754

***

4.
A relaxed Tm2BRh6 crystal, computed with PBE.

Output
ΔE_f (eV/f.u.): -2.29
Uncorrected energy (eV for the cell shown): -62.02
Calculated density (g/cm³): 10.8
Volume (Å³/cell): 148

a b c (Å): 3.016 7.325 7.782
angles (deg): 118.08 101.12 90.00
Sites, in units of the cell vectors:
Tm: 0.631 0.637 0.273
Tm: 0.369 0.363 0.727
B: 0.000 0.000 0.000
Rh: 0.171 0.360 0.346
Rh: 0.829 0.013 0.654
Rh: 0.829 0.640 0.654
Rh: 0.500 0.195 0.000
Rh: 0.171 0.987 0.346
Rh: 0.500 0.805 0.000

***

5.
A relaxed TmB2Rh6 crystal, computed with PBE.

Output
ΔE_f (eV/f.u.): -0.60
Uncorrected energy (eV for the cell shown): -125.06
Calculated density (g/cm³): 9.3
Volume (Å³/cell): 288

a b c (Å): 7.414 7.414 7.414
angles (deg): 60.00 60.00 60.00
Each line ends with the local moment (μB).
Sites, in units of the cell vectors:
Tm: 0.500 0.500 0.500  -0.01
Tm: 0.750 0.750 0.750  -0.01
B: 0.125 0.125 0.125  -0.01
B: 0.125 0.625 0.125  -0.01
B: 0.125 0.125 0.625  -0.01
B: 0.625 0.125 0.125  -0.01
Rh: 0.212 0.212 0.788  0.19
Rh: 0.788 0.788 0.212  0.19
Rh: 0.212 0.788 0.212  0.19
Rh: 0.212 0.788 0.788  0.19
Rh: 0.462 0.462 0.038  0.19
Rh: 0.462 0.038 0.038  0.19
Rh: 0.788 0.212 0.788  0.19
Rh: 0.038 0.038 0.462  0.19
Rh: 0.462 0.038 0.462  0.19
Rh: 0.038 0.462 0.462  0.19
Rh: 0.788 0.212 0.212  0.19
Rh: 0.038 0.462 0.038  0.19

***

6.
A relaxed Tm2B6Rh crystal, computed with PBE.

Output
ΔE_f (eV/f.u.): -6.09
Uncorrected energy (eV for the cell shown): -249.78
Calculated density (g/cm³): 8.9
Volume (Å³/cell): 377

a b c (Å): 3.618 9.109 11.433
angles (deg): 90.00 90.00 90.00
Sites, in units of the cell vectors:
Tm: 0.500 0.322 0.413
Tm: 0.500 0.678 0.587
Tm: 0.500 0.178 0.913
Tm: 0.500 0.822 0.087
Tm: 0.500 0.444 0.126
Tm: 0.500 0.556 0.874
Tm: 0.500 0.056 0.626
Tm: 0.500 0.944 0.374
B: 0.000 0.110 0.470
B: 0.000 0.890 0.530
B: 0.000 0.390 0.970
B: 0.000 0.610 0.030
B: 0.000 0.133 0.316
B: 0.000 0.867 0.684
B: 0.000 0.367 0.816
B: 0.000 0.633 0.184
B: 0.000 0.053 0.066
B: 0.000 0.947 0.934
B: 0.000 0.447 0.566
B: 0.000 0.553 0.434
B: 0.000 0.482 0.287
B: 0.000 0.518 0.713
B: 0.000 0.018 0.787
B: 0.000 0.982 0.213
B: 0.000 0.250 0.079
B: 0.000 0.750 0.921
B: 0.000 0.250 0.579
B: 0.000 0.750 0.421
B: 0.000 0.294 0.236
B: 0.000 0.706 0.764
B: 0.000 0.206 0.736
B: 0.000 0.794 0.264
Rh: 0.500 0.139 0.179
Rh: 0.500 0.861 0.821
Rh: 0.500 0.361 0.679
Rh: 0.500 0.639 0.321

***

7.
A relaxed TmB4Rh crystal, computed with PBE.

Output
ΔE_f (eV/f.u.): -3.80
Uncorrected energy (eV for the cell shown): -169.31
Calculated density (g/cm³): 8.7
Volume (Å³/cell): 241
Excess energy over the best structure of this formula in the dataset (meV/atom): 0

a b c (Å): 3.540 5.930 11.494
angles (deg): 90.00 90.00 90.00
Sites, in units of the cell vectors:
Tm: 0.000 0.132 0.649
Tm: 0.000 0.868 0.351
Tm: 0.000 0.632 0.851
Tm: 0.000 0.368 0.149
B: 0.500 0.792 0.687
B: 0.500 0.208 0.313
B: 0.500 0.292 0.813
B: 0.500 0.708 0.187
B: 0.500 0.865 0.530
B: 0.500 0.135 0.470
B: 0.500 0.365 0.970
B: 0.500 0.635 0.030
B: 0.500 0.022 0.194
B: 0.500 0.978 0.806
B: 0.500 0.522 0.306
B: 0.500 0.478 0.694
B: 0.500 0.113 0.048
B: 0.500 0.887 0.952
B: 0.500 0.613 0.452
B: 0.500 0.387 0.548
Rh: 0.000 0.642 0.595
Rh: 0.000 0.358 0.405
Rh: 0.000 0.142 0.905
Rh: 0.000 0.858 0.095

***

8.
A relaxed TmBRh2 crystal, computed with PBE.

Output
ΔE_f (eV/f.u.): -1.83
Uncorrected energy (eV for the cell shown): -27.68
Calculated density (g/cm³): 10.3
Volume (Å³/cell): 62

a b c (Å): 3.391 3.391 6.534
angles (deg): 74.96 74.96 60.00
Sites, in units of the cell vectors:
B: 0.000 0.000 0.000
Tm: 0.500 0.500 0.500
Rh: 0.719 0.719 0.842
Rh: 0.281 0.281 0.158

***

| no. | density of states at the Fermi level (states/eV/f.u.) |
| --- | --- |
| 1 | 3.72 |
| 2 | 7.31 |
| 3 | 6.21 |
| 4 | 9.08 |
| 5 | 14.42 |
| 6 | 2.96 |
| 7 | 1.14 |
| 8 | 1.77 |